A plane-wave DFT calculation with PBE was carried out for a geometry-optimized La2AgSnBi structure.

Output
**Space group**: P4/mmm
**Electronic total energy**: -20.51 eV/cell
**Formation energy from the elements**: 0.1 eV per formula unit
**Total moment**: 0.00 μB/cell

Lattice parameters (Å, degrees): 5.8465 5.2978 5.8465 90.00 90.00 90.00
Element x y z (fractional)
La  0.5000  0.0000  0.0000
La  0.0000  0.0000  0.5000
Bi  0.0000  0.5000  0.0000
Ag  0.0000  0.0000  0.0000
Sn  0.5000  0.5000  0.5000